1.
{
  "formula": "CdReSi2",
  "functional": "PBE",
  "state": "relaxed",
  "total_magnetization_mub_per_cell": 0.0,
  "e_tot_ev_per_cell": -22.06,
  "e_form_raw_kj_per_mol_atoms": 52,
  "lattice": [[4.3955, 0.0000, 0.0000], [0.0000, 4.3955, 0.0000], [0.0000, 0.0000, 3.1966]],
  "species": ["Cd", "Re", "Si", "Si"],
  "frac_coords": [[0.0000, 0.0000, 0.0000], [0.5000, 0.5000, 0.0000], [0.0000, 0.5000, 0.5000], [0.5000, 0.0000, 0.5000]]
}



2.
{
  "formula": "CdRe2Si",
  "functional": "PBE",
  "state": "relaxed",
  "total_magnetization_mub_per_cell": 0.0,
  "polymorph_energy_ev_per_atom": 0.528,
  "e_tot_ev_per_cell": -28.25,
  "e_form_raw_kj_per_mol_atoms": 72,
  "lattice": [[-1.9732, 1.9732, 3.9908], [1.9732, -1.9732, 3.9908], [1.9732, 1.9732, -3.9908]],
  "species": ["Cd", "Re", "Re", "Si"],
  "frac_coords": [[0.0000, 0.0000, 0.0000], [0.2500, 0.7500, 0.5000], [0.7500, 0.2500, 0.5000], [0.5000, 0.5000, 0.0000]]
}



3.
{
  "formula": "CdReSi2",
  "functional": "PBE",
  "state": "relaxed",
  "total_magnetization_mub_per_cell": 0.0,
  "e_tot_ev_per_cell": -23.74,
  "e_form_raw_kj_per_mol_atoms": 11,
  "lattice": [[4.0392, -1.6187, 0.0000], [4.0392, 1.6187, 0.0000], [-3.2767, 0.0000, 5.2266]],
  "species": ["Cd", "Re", "Si", "Si"],
  "frac_coords": [[0.0000, 0.0000, 0.0000], [0.2513, 0.2513, 0.5329], [0.6030, 0.6030, 0.6893], [0.8756, 0.8756, 0.3410]]
}



4.
{
  "formula": "CdRe2Si",
  "functional": "PBE",
  "state": "relaxed",
  "total_magnetization_mub_per_cell": 0.0,
  "polymorph_energy_ev_per_atom": 0.265,
  "e_tot_ev_per_cell": -29.30,
  "e_form_raw_kj_per_mol_atoms": 47,
  "lattice": [[-1.5103, 2.2178, 4.6660], [1.5103, -2.2178, 4.6660], [1.5103, 2.2178, -4.6660]],
  "species": ["Cd", "Re", "Re", "Si"],
  "frac_coords": [[0.0000, 0.0000, 0.0000], [0.2833, 0.7833, 0.5000], [0.5268, 0.5268, 0.0000], [0.7369, 0.2369, 0.5000]]
}